(1)
Pr2Gd | the Open Quantum Materials Database | PBE | relaxed; ΔE_f = 75 kJ/mol of formula units; space-group type = Fd-3m, No. 227
1.0
0.000 4.750 4.750
4.750 0.000 4.750
4.750 4.750 0.000
Pr Gd
4 2
direct
0.000 0.000 0.000
0.000 0.000 0.500
0.000 0.500 0.000
0.500 0.000 0.000
0.375 0.375 0.375
0.625 0.625 0.625

=====

(2)
Rb2As2Pd | the Open Quantum Materials Database | PBE | relaxed; DFT total energy = -3.178 eV per atom; space-group type = I4/mmm, No. 139
1.0
-2.703 2.703 14.362
2.703 -2.703 14.362
2.703 2.703 -14.362
Rb As Pd
4 4 2
direct
0.000 0.500 0.500
0.161 0.161 0.000
0.500 0.000 0.500
0.839 0.839 0.000
0.044 0.044 0.000
0.250 0.750 0.500
0.750 0.250 0.500
0.956 0.956 0.000
0.272 0.272 0.000
0.728 0.728 0.000

=====

(3)
Cd2GeAs4Pt | the Open Quantum Materials Database | PBE | relaxed; DFT total energy = -3.928 eV per atom; space-group type = I-4, No. 82
1.0
-2.977 2.977 5.901
2.977 -2.977 5.901
2.977 2.977 -5.901
Cd Ge As Pt
2 1 4 1
direct
0.000 0.000 0.000
0.750 0.250 0.500
0.500 0.500 0.000
0.159 0.631 0.043
0.369 0.412 0.527
0.588 0.116 0.957
0.884 0.841 0.473
0.250 0.750 0.500

=====

(4)
NdAgOs | the Open Quantum Materials Database | PBE | relaxed; ΔE_f = 177 kJ/mol of formula units; space-group type = F-43m, No. 216
1.0
0.000 3.297 3.297
3.297 0.000 3.297
3.297 3.297 0.000
Nd Ag Os
1 1 1
direct
0.000 0.000 0.000
0.500 0.500 0.500
0.750 0.750 0.750